Computed, not measured: a relaxed structure of NbAgI5 at the PBE level of DFT.

a = 7.7703 Å, b = 7.7703 Å, c = 11.0927 Å
α = 109.85°, β = 109.85°, γ = 90.32°
Closest atoms and distances in Å follow each position.
Sites, in units of the cell vectors:
Nb  0.0000  0.0000  0.0000  6 I 2.79-2.89
Nb  0.0000  0.0000  0.5000  6 I 2.79-2.89
Ag  0.3736  0.6264  0.7500  4 I 2.79-2.89
Ag  0.6264  0.3736  0.2500  4 I 2.79-2.89
I  0.0733  0.9267  0.2500  2 Nb 2.89
I  0.1818  0.6941  0.5111  1 Nb 2.79, 1 Ag 2.79
I  0.2274  0.3393  0.1480  1 Nb 2.79, 1 Ag 2.89
I  0.3059  0.8182  0.9889  1 Nb 2.79, 1 Ag 2.79
I  0.3393  0.2274  0.6480  1 Nb 2.79, 1 Ag 2.89
I  0.6607  0.7726  0.3520  1 Nb 2.79, 1 Ag 2.89
I  0.6941  0.1818  0.0111  1 Nb 2.79, 1 Ag 2.79
I  0.7726  0.6607  0.8520  1 Nb 2.79, 1 Ag 2.89
I  0.8182  0.3059  0.4889  1 Nb 2.79, 1 Ag 2.79
I  0.9267  0.0733  0.7500  2 Nb 2.89

Values from the calculation:
- Formation energy (no corrections): -0.30 eV/atom
- E_tot: -3.256 eV/atom
- Spin magnetization: 1.0 μB per formula unit